Crystalline Nb2In at its relaxed geometry, computed with PBE.

Cell and atoms, written as POSCAR:
```
Nb2In
1.0
-1.202 2.976 1.424
-2.662 -1.770 1.453
4.584 -1.395 2.456
In Nb
1 2
Direct
0.000 0.000 0.000
0.319 0.319 0.637
0.681 0.681 0.363
```

Summary:
Relative energy among the computed polymorphs = 0.000 eV per formula unit
Space-group type = No. 139

---

Crystalline NbIn at its relaxed geometry, computed with PBE.

Cell and atoms, written as POSCAR:
```
NbIn
1.0
-1.402 4.194 -0.713
-1.417 -1.056 -3.425
-4.014 -1.007 1.971
In Nb
2 2
Direct
0.500 0.000 0.500
0.000 0.500 0.500
0.000 0.000 0.000
0.500 0.500 0.000
```

Summary:
Electronic total energy = -6.331 eV/atom
Space-group type = No. 65

---

Crystalline NbIn at its relaxed geometry, computed with PBE.

Cell and atoms, written as POSCAR:
```
NbIn
1.0
-1.941 3.336 -2.872
-0.456 -4.665 -1.082
-4.709 -0.219 2.928
Nb In
2 2
Direct
0.333 0.667 0.250
0.667 0.333 0.750
0.667 0.333 0.250
0.333 0.667 0.750
```

Summary:
Electronic total energy = -5.274 eV/atom
Space-group type = No. 194

---

Crystalline NbIn at its relaxed geometry, computed with PBE.

Cell and atoms, written as POSCAR:
```
NbIn
1.0
2.962 0.000 0.000
0.000 19.023 0.000
0.000 0.000 11.396
In Nb
16 16
Direct
0.750 0.750 0.879
0.250 0.750 0.121
0.750 0.750 0.621
0.250 0.250 0.621
0.750 0.250 0.121
0.250 0.750 0.379
0.250 0.250 0.879
0.000 0.000 0.129
0.500 0.500 0.129
0.000 0.500 0.371
0.500 0.500 0.871
0.750 0.250 0.379
0.000 0.500 0.629
0.000 0.000 0.871
0.500 0.000 0.371
0.500 0.000 0.629
0.000 0.381 0.000
0.750 0.369 0.750
0.000 0.619 0.000
0.500 0.619 0.500
0.500 0.119 0.000
0.250 0.631 0.750
0.750 0.131 0.750
0.000 0.119 0.500
0.750 0.869 0.250
0.250 0.369 0.250
0.250 0.131 0.250
0.500 0.381 0.500
0.750 0.631 0.250
0.000 0.881 0.500
0.250 0.869 0.750
0.500 0.881 0.000
```

Summary:
Electronic total energy = -6.263 eV/atom
Space-group type = No. 70

---

Crystalline NbIn2Ni at its relaxed geometry, computed with PBE.

Cell and atoms, written as POSCAR:
```
NbIn2Ni
1.0
-1.213 1.418 -2.431
-2.640 0.346 1.519
2.403 6.625 2.665
Nb In Ni
1 2 1
Direct
0.500 0.500 0.500
0.000 0.000 0.783
0.000 0.000 0.217
0.500 0.500 0.000
```

Summary:
Electronic total energy = -5.342 eV/atom
Space-group type = No. 123

---

Crystalline Nb2In2Ni at its relaxed geometry, computed with PBE.

Cell and atoms, written as POSCAR:
```
Nb2In2Ni
1.0
6.576 0.000 0.000
0.000 6.576 0.000
0.000 0.000 4.417
Nb In Ni
4 4 2
Direct
0.347 0.153 0.500
0.153 0.653 0.500
0.847 0.347 0.500
0.653 0.847 0.500
0.849 0.651 0.000
0.151 0.349 0.000
0.651 0.151 0.000
0.349 0.849 0.000
0.000 0.000 0.000
0.500 0.500 0.000
```

Summary:
Relative energy among the computed polymorphs = 0.000 eV per formula unit
Space-group type = No. 127

---

Listing M_tot for the structures above in their given order: 0.000, 0.000, 0.000, 0.000, 0.000, 0.000 μB/cell.